# SrSc2Cd | Alexandria | PBE | optimized geometry
data_SrSc2Cd
_symmetry_space_group_name_H-M 'I m m m'
_symmetry_Int_Tables_number 71
_symmetry_space_group_name_Hall '-I 2 2'
_cell_length_a 3.578
_cell_length_b 5.542
_cell_length_c 11.596
_cell_angle_alpha 90.00
_cell_angle_beta 90.00
_cell_angle_gamma 90.00
loop_
_atom_site_label
_atom_site_type_symbol
_atom_site_fract_x
_atom_site_fract_y
_atom_site_fract_z
_atom_site_occupancy
Sr1 Sr 0.000 0.000 0.000 1
Sc1 Sc 0.000 0.500 0.215 1
Cd1 Cd 0.000 0.000 0.500 1
# E_form, eV/atom: 0.0228
# E above lowest polymorph, meV per atom: 49
# Spin magnetization, μB per formula unit: 0.00
# Density of states at the Fermi level, states/eV/cell: 12.96
# DFT total energy, eV per atom: -3.79